Entry from Alexandria via LeMat-Bulk: a relaxed Tm4Bi3H2 crystal (GGA-PBE).

## Properties
M_tot   0.0 Bohr magnetons per cell
Electronic total energy   -4.63 eV/atom

abc: 7.847 7.847 7.397
angles: 99.16 99.16 77.45
Fractional positions:
Tm 0.072 0.703 0.995
Tm 0.274 0.390 0.378
Tm 0.297 0.928 0.505
Tm 0.390 0.274 0.878
Tm 0.610 0.726 0.122
Tm 0.703 0.072 0.495
Tm 0.726 0.610 0.622
Tm 0.928 0.297 0.005
Bi 0.027 0.269 0.615
Bi 0.269 0.027 0.115
Bi 0.374 0.626 0.750
Bi 0.626 0.374 0.250
Bi 0.731 0.973 0.885
Bi 0.973 0.731 0.385
H 0.170 0.431 0.065
H 0.431 0.170 0.565
H 0.569 0.830 0.435
H 0.830 0.569 0.935